Mn4Ni4Pt5 PBE optimized geometry; M_tot = 18.8 μB per cell; crystal system = tetragonal; Fermi-level density of states = 11.958 states/eV per cell; formation enthalpy at 0 K = -0.228 eV per atom; V = 13.82 Å³/atom
1.0
3.6742 0.0000 0.9342
1.8371 6.8849 0.4671
0.1406 0.0000 7.1397
Mn Pt Ni
4 5 4
direct
0.1415 0.0952 0.6217
0.7632 0.3783 0.0952
0.2368 0.6217 0.9048
0.8585 0.9048 0.3783
0.0000 0.0000 0.0000
0.4523 0.2514 0.8439
0.7038 0.8439 0.7486
0.2962 0.1561 0.2514
0.5477 0.7486 0.1561
0.9263 0.4695 0.6779
0.6042 0.3221 0.4695
0.3958 0.6779 0.5305
0.0737 0.5305 0.3221

=====

Mn3NiPt PBE optimized geometry; M_tot = 13.9 μB per cell; crystal system = cubic; Fermi-level density of states = 4.131 states/eV per cell; formation enthalpy at 0 K = 1.074 eV per atom; V = 22.38 Å³/atom; energy above the lowest structure with this stoichiometry = 0.0 meV per atom
1.0
-4.7223 -0.8357 -0.4733
0.9527 -3.7744 -2.8407
0.1220 -2.8772 3.8638
Mn Ni Pt
3 1 1
direct
0.0000 0.5000 0.0000
0.5000 0.0000 0.0000
0.0000 0.0000 0.5000
0.5000 0.5000 0.5000
0.0000 0.0000 0.0000

=====

MnNiPt2 PBE optimized geometry; M_tot = 4.9 μB per cell; crystal system = orthorhombic; Fermi-level density of states = 6.119 states/eV per cell; formation enthalpy at 0 K = -0.191 eV per atom; V = 14.22 Å³/atom
1.0
-1.9003 1.5409 -1.2834
-2.7429 -2.1560 1.4727
-0.2586 3.2826 4.3239
Ni Pt Mn
1 2 1
direct
0.5000 0.5000 0.7558
0.0000 0.0000 0.9783
0.5000 0.5000 0.2630
0.0000 0.0000 0.5030

=====

MnNi5Pt8 PBE optimized geometry; M_tot = 1.7 μB per cell; crystal system = tetragonal; Fermi-level density of states = 24.973 states/eV per cell; formation enthalpy at 0 K = 0.140 eV per atom; V = 14.45 Å³/atom
1.0
-4.6446 0.9660 -4.3042
3.8684 -4.6996 -1.9951
-2.6767 -1.6149 5.5909
Pt Ni Mn
8 5 1
direct
0.2307 0.2343 0.3347
0.3979 0.5820 0.1829
0.1842 0.7850 0.6021
0.0036 0.1040 0.7693
0.8171 0.2150 0.3991
0.6653 0.8960 0.8997
0.6009 0.4180 0.8158
0.1003 0.7657 0.9964
0.8624 0.8074 0.2744
0.4669 0.1926 0.0550
0.5000 0.0000 0.5000
0.9450 0.4119 0.1376
0.7256 0.5881 0.5331
0.2500 0.5000 0.7500

=====

MnNi3Pt PBE optimized geometry; M_tot = 11.8 μB per cell; crystal system = monoclinic; Fermi-level density of states = 10.811 states/eV per cell; formation enthalpy at 0 K = -0.052 eV per atom; V = 12.51 Å³/atom; energy above the lowest structure with this stoichiometry = 0.0 meV per atom
1.0
2.5755 0.1399 0.7311
0.7074 6.5884 6.0495
1.2646 2.3552 9.8167
Ni Mn Pt
6 2 2
direct
0.9616 0.5630 0.4428
0.5542 0.6548 0.6528
0.9756 0.0583 0.4358
0.7458 0.8734 0.0464
0.7691 0.3444 0.0492
0.5394 0.1595 0.6598
0.3468 0.9385 0.2686
0.1689 0.2793 0.8270
0.1687 0.7699 0.8328
0.3463 0.4479 0.2629

=====

Mn4NiPt PBE optimized geometry; M_tot = 5.5 μB per cell; crystal system = cubic; Fermi-level density of states = 9.130 states/eV per cell; formation enthalpy at 0 K = 0.125 eV per atom; V = 12.08 Å³/atom
1.0
0.0000 3.3096 3.3096
3.3096 0.0000 3.3096
3.3096 3.3096 0.0000
Mn Ni Pt
4 1 1
direct
0.3756 0.3756 0.8731
0.3756 0.8731 0.3756
0.8731 0.3756 0.3756
0.3756 0.3756 0.3756
0.7500 0.7500 0.7500
0.0000 0.0000 0.0000

=====

MnNi6Pt8 PBE optimized geometry; M_tot = 9.1 μB per cell; crystal system = trigonal; Fermi-level density of states = 27.733 states/eV per cell; formation enthalpy at 0 K = 0.100 eV per atom; V = 14.55 Å³/atom
1.0
6.0403 0.5669 0.5854
0.3782 6.0551 0.5854
0.3782 0.3902 6.0708
Ni Pt Mn
6 8 1
direct
0.2195 0.4377 0.5815
0.4185 0.7805 0.5623
0.5815 0.2195 0.4377
0.7805 0.5623 0.4185
0.5623 0.4185 0.7805
0.4377 0.5815 0.2195
0.6157 0.9346 0.1764
0.3843 0.0654 0.8236
0.2307 0.2307 0.2307
0.1764 0.6157 0.9346
0.0654 0.8236 0.3843
0.8236 0.3843 0.0654
0.7693 0.7693 0.7693
0.9346 0.1764 0.6157
0.0000 0.0000 0.0000

=====

MnNi2Pt6 PBE optimized geometry; M_tot = 5.9 μB per cell; crystal system = monoclinic; Fermi-level density of states = 13.602 states/eV per cell; formation enthalpy at 0 K = -0.174 eV per atom; V = 14.52 Å³/atom; energy above the lowest structure with this stoichiometry = 0.0 meV per atom
1.0
-0.3620 1.4158 3.6113
3.4941 -1.1919 2.9188
5.3880 6.2881 0.1761
Pt Ni Mn
6 2 1
direct
0.6662 0.0622 0.6054
0.6671 0.7208 0.9449
0.9994 0.8222 0.1790
0.3329 0.2792 0.0551
0.0006 0.1778 0.8210
0.3338 0.9378 0.3946
0.3333 0.6120 0.7214
0.6667 0.3880 0.2786
0.0000 0.5000 0.5000